The following is a DFT calculation (PBE) of a relaxed structure of KPrAgTe3.

Values from the calculation:
* electronic total energy: -3.93 eV/atom
* calculated volume: 34.93 Å³ per atom
* magnetic moment: 0.009 μB per formula unit

Lattice parameters (Å, degrees): 8.327 8.327 11.782 90.00 90.00 149.12
Fractional positions:
K 0.246 0.754 0.750
K 0.754 0.246 0.250
Pr 0.000 0.000 0.000
Pr 0.000 0.000 0.500
Ag 0.466 0.534 0.250
Ag 0.534 0.466 0.750
Te 0.077 0.923 0.250
Te 0.363 0.637 0.058
Te 0.363 0.637 0.442
Te 0.637 0.363 0.558
Te 0.637 0.363 0.942
Te 0.923 0.077 0.750

***

The following is a DFT calculation (PBE) of a relaxed structure of KAgPt.

Values from the calculation:
* calculated volume: 27.69 Å³ per atom
* distance to the lowest polymorph of the same formula: 527 meV per atom
* magnetic moment: 0.001 μB per formula unit

Lattice parameters (Å, degrees): 6.926 6.926 6.926 90.00 90.00 90.00
Fractional positions:
K 0.000 0.000 0.000
K 0.000 0.500 0.500
K 0.500 0.000 0.500
K 0.500 0.500 0.000
Ag 0.250 0.250 0.750
Ag 0.250 0.750 0.250
Ag 0.750 0.250 0.250
Ag 0.750 0.750 0.750
Pt 0.250 0.250 0.250
Pt 0.250 0.750 0.750
Pt 0.750 0.250 0.750
Pt 0.750 0.750 0.250

***

The following is a DFT calculation (PBE) of a relaxed structure of KAgTe2PtS.

Values from the calculation:
* electronic total energy: -3.70 eV/atom
* calculated volume: 26.37 Å³ per atom
* magnetic moment: 0.011 μB per formula unit

Lattice parameters (Å, degrees): 6.970 6.970 11.345 90.00 90.00 144.97
Fractional positions:
K 0.238 0.762 0.750
K 0.762 0.238 0.250
Ag 0.055 0.945 0.250
Ag 0.945 0.055 0.750
Te 0.128 0.872 0.023
Te 0.128 0.872 0.477
Te 0.872 0.128 0.523
Te 0.872 0.128 0.977
Pt 0.500 0.500 0.000
Pt 0.500 0.500 0.500
S 0.455 0.545 0.250
S 0.545 0.455 0.750

***

The following is a DFT calculation (PBE) of a relaxed structure of KAgTePtS2.

Values from the calculation:
* electronic total energy: -3.91 eV/atom
* calculated volume: 26.44 Å³ per atom
* magnetic moment: 0.004 μB per formula unit

Lattice parameters (Å, degrees): 8.290 8.290 10.872 90.00 90.00 154.87
Fractional positions:
K 0.233 0.767 0.750
K 0.767 0.233 0.250
Ag 0.094 0.906 0.250
Ag 0.906 0.094 0.750
Te 0.447 0.553 0.250
Te 0.553 0.447 0.750
Pt 0.500 0.500 0.000
Pt 0.500 0.500 0.500
S 0.098 0.902 0.025
S 0.098 0.902 0.475
S 0.902 0.098 0.525
S 0.902 0.098 0.975

***

The following is a DFT calculation (PBE) of a relaxed structure of KAg3PtSe4.

Values from the calculation:
* electronic total energy: -3.42 eV/atom
* calculated volume: 30.15 Å³ per atom
* magnetic moment: 0.105 μB per formula unit

Lattice parameters (Å, degrees): 6.474 6.474 6.474 90.00 90.00 90.00
Fractional positions:
K 0.000 0.000 0.000
Ag 0.000 0.500 0.500
Ag 0.500 0.000 0.500
Ag 0.500 0.500 0.000
Pt 0.500 0.500 0.500
Se 0.280 0.280 0.280
Se 0.280 0.720 0.720
Se 0.720 0.280 0.720
Se 0.720 0.720 0.280

***

The following is a DFT calculation (PBE) of a relaxed structure of KAgTe2PtSe.

Values from the calculation:
* electronic total energy: -3.64 eV/atom
* calculated volume: 27.96 Å³ per atom
* magnetic moment: 0.009 μB per formula unit

Lattice parameters (Å, degrees): 7.719 7.719 11.006 90.00 90.00 149.23
Fractional positions:
K 0.249 0.751 0.750
K 0.751 0.249 0.250
Ag 0.057 0.943 0.250
Ag 0.943 0.057 0.750
Te 0.119 0.881 0.016
Te 0.119 0.881 0.484
Te 0.881 0.119 0.516
Te 0.881 0.119 0.984
Pt 0.500 0.500 0.000
Pt 0.500 0.500 0.500
Se 0.444 0.556 0.250
Se 0.556 0.444 0.750

***

The following is a DFT calculation (PBE) of a relaxed structure of KAgTePtSe2.

Values from the calculation:
* electronic total energy: -3.73 eV/atom
* calculated volume: 27.75 Å³ per atom
* magnetic moment: 0.002 μB per formula unit

Lattice parameters (Å, degrees): 8.143 8.143 11.025 90.00 90.00 152.90
Fractional positions:
K 0.239 0.761 0.750
K 0.761 0.239 0.250
Ag 0.086 0.914 0.250
Ag 0.914 0.086 0.750
Te 0.449 0.551 0.250
Te 0.551 0.449 0.750
Pt 0.500 0.500 0.000
Pt 0.500 0.500 0.500
Se 0.106 0.894 0.018
Se 0.106 0.894 0.482
Se 0.894 0.106 0.518
Se 0.894 0.106 0.982

***

The following is a DFT calculation (PBE) of a relaxed structure of KAg3Te4Pt.

Values from the calculation:
* electronic total energy: -3.24 eV/atom
* calculated volume: 35.24 Å³ per atom
* magnetic moment: 0.009 μB per formula unit

Lattice parameters (Å, degrees): 6.820 6.820 6.820 90.00 90.00 90.00
Fractional positions:
K 0.000 0.000 0.000
Ag 0.000 0.500 0.500
Ag 0.500 0.000 0.500
Ag 0.500 0.500 0.000
Te 0.278 0.278 0.278
Te 0.278 0.722 0.722
Te 0.722 0.278 0.722
Te 0.722 0.722 0.278
Pt 0.500 0.500 0.500

***

The following is a DFT calculation (PBE) of a relaxed structure of KPuAgTeSe2.

Values from the calculation:
* electronic total energy: -5.73 eV/atom
* calculated volume: 30.52 Å³ per atom
* magnetic moment: 4.235 μB per formula unit

Lattice parameters (Å, degrees): 8.665 4.240 10.456 90.00 107.55 90.00
Fractional positions:
K 0.219 0.250 0.247
K 0.781 0.750 0.753
Pu 0.320 0.750 0.853
Pu 0.680 0.250 0.147
Ag 0.075 0.250 0.596
Ag 0.925 0.750 0.404
Te 0.269 0.750 0.547
Te 0.731 0.250 0.453
Se 0.103 0.250 0.859
Se 0.454 0.750 0.137
Se 0.546 0.250 0.863
Se 0.897 0.750 0.141

***

The following is a DFT calculation (PBE) of a relaxed structure of KRb2Ag7.

Values from the calculation:
* electronic total energy: -2.27 eV/atom
* calculated volume: 29.05 Å³ per atom

Lattice parameters (Å, degrees): 7.376 7.376 7.466 90.00 90.00 134.33
Fractional positions:
K 0.000 0.000 0.000
Rb 0.161 0.839 0.500
Rb 0.839 0.161 0.500
Ag 0.000 0.500 0.000
Ag 0.394 0.606 0.191
Ag 0.394 0.606 0.809
Ag 0.500 0.000 0.000
Ag 0.500 0.500 0.500
Ag 0.606 0.394 0.191
Ag 0.606 0.394 0.809

***

The following is a DFT calculation (PBE) of a relaxed structure of KRbAg3.

Values from the calculation:
* electronic total energy: -2.11 eV/atom
* calculated volume: 30.54 Å³ per atom

Lattice parameters (Å, degrees): 5.048 5.672 10.669 90.00 90.00 90.00
Fractional positions:
K 0.000 0.000 0.000
K 0.500 0.500 0.500
Rb 0.000 0.000 0.391
Rb 0.500 0.500 0.891
Ag 0.000 0.250 0.692
Ag 0.000 0.500 0.190
Ag 0.000 0.750 0.692
Ag 0.500 0.000 0.690
Ag 0.500 0.250 0.192
Ag 0.500 0.750 0.192

***

The following is a DFT calculation (PBE) of a relaxed structure of KRbAg2S2.

Values from the calculation:
* electronic total energy: -3.33 eV/atom
* calculated volume: 29.57 Å³ per atom

Lattice parameters (Å, degrees): 6.597 6.606 8.141 90.00 90.00 90.00
Fractional positions:
K 0.000 0.000 0.000
K 0.000 0.500 0.500
Rb 0.500 0.000 0.251
Rb 0.500 0.500 0.751
Ag 0.248 0.000 0.631
Ag 0.248 0.500 0.131
Ag 0.752 0.000 0.631
Ag 0.752 0.500 0.131
S 0.000 0.000 0.419
S 0.000 0.500 0.919
S 0.500 0.000 0.842
S 0.500 0.500 0.342

***

The following is a DFT calculation (PBE) of a relaxed structure of K2RbAg3Sb2.

Values from the calculation:
* electronic total energy: -2.85 eV/atom
* calculated volume: 32.29 Å³ per atom

Lattice parameters (Å, degrees): 8.413 8.413 8.413 43.73 43.73 43.73
Fractional positions:
K 0.087 0.087 0.087
K 0.913 0.913 0.913
Rb 0.500 0.500 0.500
Ag 0.000 0.500 0.500
Ag 0.500 0.000 0.500
Ag 0.500 0.500 0.000
Sb 0.243 0.243 0.243
Sb 0.757 0.757 0.757

***

The following is a DFT calculation (PBE) of a relaxed structure of K3RbAg2Sb2.

Values from the calculation:
* electronic total energy: -2.68 eV/atom
* calculated volume: 35.90 Å³ per atom

Lattice parameters (Å, degrees): 6.734 6.419 6.850 90.00 104.04 90.00
Fractional positions:
K 0.000 0.000 0.000
K 0.304 0.500 0.307
K 0.648 0.500 0.968
Rb 0.346 0.000 0.659
Ag 0.821 0.251 0.483
Ag 0.821 0.749 0.483
Sb 0.082 0.500 0.749
Sb 0.564 0.000 0.215

***

The following is a DFT calculation (PBE) of a relaxed structure of KRbAg2Sb2.

Values from the calculation:
* electronic total energy: -2.88 eV/atom
* calculated volume: 32.27 Å³ per atom

Lattice parameters (Å, degrees): 4.877 4.877 8.139 90.00 90.00 90.00
Fractional positions:
K 0.000 0.000 0.000
Rb 0.500 0.500 0.670
Ag 0.000 0.500 0.325
Ag 0.500 0.000 0.325
Sb 0.000 0.000 0.508
Sb 0.500 0.500 0.142

***

The following is a DFT calculation (PBE) of a relaxed structure of KRbAg2Se2.

Values from the calculation:
* calculated volume: 29.73 Å³ per atom
* distance to the lowest polymorph of the same formula: 0 meV per atom

Lattice parameters (Å, degrees): 4.575 4.575 9.841 90.00 90.00 120.00
Fractional positions:
K 0.000 0.000 0.000
Rb 0.000 0.000 0.500
Ag 0.333 0.667 0.240
Ag 0.667 0.333 0.760
Se 0.333 0.667 0.760
Se 0.667 0.333 0.240

***

The following is a DFT calculation (PBE) of a relaxed structure of KRbAg2Se2.

Values from the calculation:
* calculated volume: 32.18 Å³ per atom
* distance to the lowest polymorph of the same formula: 21 meV per atom

Lattice parameters (Å, degrees): 6.693 6.793 8.493 90.00 90.00 90.00
Fractional positions:
K 0.000 0.000 0.000
K 0.000 0.500 0.500
Rb 0.500 0.000 0.733
Rb 0.500 0.500 0.233
Ag 0.249 0.000 0.361
Ag 0.249 0.500 0.861
Ag 0.751 0.000 0.361
Ag 0.751 0.500 0.861
Se 0.000 0.000 0.580
Se 0.000 0.500 0.080
Se 0.500 0.000 0.142
Se 0.500 0.500 0.642

***

The following is a DFT calculation (PBE) of a relaxed structure of KReAg3S4.

Values from the calculation:
* electronic total energy: -4.44 eV/atom
* calculated volume: 27.34 Å³ per atom
* magnetic moment: 1.147 μB per formula unit

Lattice parameters (Å, degrees): 6.266 6.266 6.266 90.00 90.00 90.00
Fractional positions:
K 0.000 0.000 0.000
Re 0.500 0.500 0.500
Ag 0.000 0.500 0.500
Ag 0.500 0.000 0.500
Ag 0.500 0.500 0.000
S 0.288 0.288 0.288
S 0.288 0.712 0.712
S 0.712 0.288 0.712
S 0.712 0.712 0.288

***

The following is a DFT calculation (PBE) of a relaxed structure of KReAg3Se4.

Values from the calculation:
* electronic total energy: -4.11 eV/atom
* calculated volume: 30.66 Å³ per atom
* magnetic moment: 1.169 μB per formula unit

Lattice parameters (Å, degrees): 6.510 6.510 6.510 90.00 90.00 90.00
Fractional positions:
K 0.000 0.000 0.000
Re 0.500 0.500 0.500
Ag 0.000 0.500 0.500
Ag 0.500 0.000 0.500
Ag 0.500 0.500 0.000
Se 0.285 0.285 0.285
Se 0.285 0.715 0.715
Se 0.715 0.285 0.715
Se 0.715 0.715 0.285

***

The following is a DFT calculation (PBE) of a relaxed structure of K2ReAg2Se4.

Values from the calculation:
* electronic total energy: -4.17 eV/atom
* calculated volume: 27.68 Å³ per atom
* magnetic moment: 1.291 μB per formula unit

Lattice parameters (Å, degrees): 7.352 6.105 12.166 90.00 114.19 90.00
Fractional positions:
K 0.000 0.000 0.000
K 0.000 0.000 0.500
K 0.000 0.479 0.250
K 0.000 0.521 0.750
Re 0.500 0.248 0.750
Re 0.500 0.752 0.250
Ag 0.500 0.249 0.023
Ag 0.500 0.249 0.477
Ag 0.500 0.751 0.523
Ag 0.500 0.751 0.977
Se 0.277 0.036 0.807
Se 0.277 0.964 0.307
Se 0.278 0.465 0.583
Se 0.278 0.535 0.083
Se 0.722 0.465 0.917
Se 0.722 0.535 0.417
Se 0.723 0.036 0.693
Se 0.723 0.964 0.193

***

The following is a DFT calculation (PBE) of a relaxed structure of KReAgTe2Se.

Values from the calculation:
* electronic total energy: -4.39 eV/atom
* calculated volume: 27.74 Å³ per atom
* magnetic moment: 2.597 μB per formula unit

Lattice parameters (Å, degrees): 8.112 8.112 10.498 90.00 90.00 151.19
Fractional positions:
K 0.244 0.756 0.750
K 0.756 0.244 0.250
Re 0.000 0.000 0.000
Re 0.000 0.000 0.500
Ag 0.455 0.545 0.250
Ag 0.545 0.455 0.750
Te 0.378 0.622 0.019
Te 0.378 0.622 0.481
Te 0.622 0.378 0.519
Te 0.622 0.378 0.981
Se 0.062 0.938 0.250
Se 0.938 0.062 0.750

***

The following is a DFT calculation (PBE) of a relaxed structure of KReAg3Te4.

Values from the calculation:
* electronic total energy: -3.82 eV/atom
* calculated volume: 35.66 Å³ per atom
* magnetic moment: 0.027 μB per formula unit

Lattice parameters (Å, degrees): 6.847 6.847 6.847 90.00 90.00 90.00
Fractional positions:
K 0.000 0.000 0.000
Re 0.500 0.500 0.500
Ag 0.000 0.500 0.500
Ag 0.500 0.000 0.500
Ag 0.500 0.500 0.000
Te 0.282 0.282 0.282
Te 0.282 0.718 0.718
Te 0.718 0.282 0.718
Te 0.718 0.718 0.282